The following is a DFT calculation (GGA-PBE) of La7Cu2Ag2 after structural relaxation.

abc: 7.015 7.376 7.015
angles: 90.00 111.21 90.00
Fractional coordinates of all 11 atoms:
La: 0.500 0.245 0.500
La: 0.000 0.721 0.500
Cu: 0.710 0.000 0.290
La: 0.000 0.279 0.500
La: 0.000 0.000 0.000
Cu: 0.290 0.000 0.710
La: 0.500 0.721 0.000
Ag: 0.829 0.500 0.829
Ag: 0.171 0.500 0.171
La: 0.500 0.279 0.000
La: 0.500 0.755 0.500

## Properties
* crystal system: orthorhombic
* formation energy: 0.01 eV per atom

---

The following is a DFT calculation (GGA-PBE) of Zr2CoGeRh after structural relaxation.

abc: 4.755 4.273 4.755
angles: 90.00 90.00 90.00
Fractional coordinates of all 5 atoms:
Rh: 0.500 0.500 0.500
Ge: 0.000 0.500 0.000
Co: 0.000 0.000 0.000
Zr: 0.500 0.000 0.000
Zr: 0.000 0.000 0.500

## Properties
* crystal system: tetragonal
* formation energy: 0.01 eV per atom